Model one:
First-principles (PBE) data for a geometry-optimized SrNdAg structure, as listed in Alexandria via LeMat-Bulk.

a b c (Å): 7.377 7.377 7.377
angles (deg): 149.77 149.77 43.28
Element x y z (fractional)
Sr 0.000 0.000 0.000
Nd 0.274 0.274 0.000
Ag 0.654 0.654 0.000

Model two:
First-principles (PBE) data for a geometry-optimized SrNdAg structure, as listed in Alexandria via LeMat-Bulk.

a b c (Å): 5.215 5.215 4.294
angles (deg): 90.00 90.00 120.00
Element x y z (fractional)
Sr 0.000 0.000 0.000
Nd 0.333 0.667 0.527
Ag 0.667 0.333 0.359

model one (175 meV/atom below the next structure)

Model one:
First-principles (PBE) data for a geometry-optimized SrNdTlAg structure, as listed in Alexandria via LeMat-Bulk.

a b c (Å): 5.530 5.530 5.530
angles (deg): 60.00 60.00 60.00
Element x y z (fractional)
Sr 0.000 0.000 0.000
Nd 0.500 0.500 0.500
Tl 0.750 0.750 0.750
Ag 0.250 0.250 0.250

Model two:
First-principles (PBE) data for a geometry-optimized SrNdTlAg structure, as listed in Alexandria via LeMat-Bulk.

a b c (Å): 3.865 3.865 8.078
angles (deg): 90.00 90.00 90.00
Element x y z (fractional)
Sr 0.000 0.000 0.000
Nd 0.000 0.000 0.524
Tl 0.500 0.500 0.278
Ag 0.500 0.500 0.738

model two (26 meV/atom below the next structure)

Model one:
First-principles (PBE) data for a geometry-optimized TbNdAg structure, as listed in Alexandria via LeMat-Bulk.

a b c (Å): 6.985 6.985 6.985
angles (deg): 149.87 149.87 43.13
Element x y z (fractional)
Tb 0.000 0.000 0.000
Nd 0.703 0.703 0.000
Ag 0.362 0.362 0.000

Model two:
First-principles (PBE) data for a geometry-optimized TbNdAg structure, as listed in Alexandria via LeMat-Bulk.

a b c (Å): 5.109 5.109 3.742
angles (deg): 90.00 90.00 120.00
Element x y z (fractional)
Tb 0.000 0.000 0.000
Nd 0.667 0.333 0.554
Ag 0.333 0.667 0.226

Model three:
First-principles (PBE) data for a geometry-optimized TbNdAg structure, as listed in Alexandria via LeMat-Bulk.

a b c (Å): 5.117 5.117 5.117
angles (deg): 60.00 60.00 60.00
Element x y z (fractional)
Tb 0.000 0.000 0.000
Nd 0.500 0.500 0.500
Ag 0.250 0.250 0.250

Model four:
First-principles (PBE) data for a geometry-optimized TbNdAg structure, as listed in Alexandria via LeMat-Bulk.

a b c (Å): 9.588 9.588 4.967
angles (deg): 90.00 90.00 157.83
Element x y z (fractional)
Tb 0.207 0.793 0.750
Tb 0.793 0.207 0.250
Nd 0.403 0.597 0.750
Nd 0.597 0.403 0.250
Ag 0.043 0.957 0.750
Ag 0.957 0.043 0.250

model one (21 meV/atom below the next structure)

Model one:
First-principles (PBE) data for a geometry-optimized TbNd2Ag2 structure, as listed in Alexandria via LeMat-Bulk.

a b c (Å): 13.904 13.904 5.354
angles (deg): 90.00 90.00 164.61
Element x y z (fractional)
Tb 0.145 0.855 0.750
Tb 0.855 0.145 0.250
Nd 0.047 0.953 0.250
Nd 0.234 0.766 0.250
Nd 0.766 0.234 0.750
Nd 0.953 0.047 0.750
Ag 0.359 0.641 0.750
Ag 0.449 0.551 0.250
Ag 0.551 0.449 0.750
Ag 0.641 0.359 0.250

Model two:
First-principles (PBE) data for a geometry-optimized TbNd2Ag2 structure, as listed in Alexandria via LeMat-Bulk.

a b c (Å): 7.712 7.712 7.712
angles (deg): 118.58 81.39 132.17
Element x y z (fractional)
Tb 0.250 0.250 0.000
Tb 0.750 0.750 0.000
Nd 0.210 0.649 0.859
Nd 0.290 0.149 0.438
Nd 0.710 0.851 0.562
Nd 0.790 0.351 0.141
Ag 0.055 0.332 0.388
Ag 0.445 0.832 0.277
Ag 0.555 0.168 0.723
Ag 0.945 0.668 0.612

model one (147 meV/atom below the next structure)

Model one:
First-principles (PBE) data for a geometry-optimized TbNdTlAg structure, as listed in Alexandria via LeMat-Bulk.

a b c (Å): 3.705 3.705 7.896
angles (deg): 90.00 90.00 90.00
Element x y z (fractional)
Tb 0.000 0.000 0.000
Nd 0.000 0.000 0.470
Tl 0.500 0.500 0.742
Ag 0.500 0.500 0.214

Model two:
First-principles (PBE) data for a geometry-optimized TbNdTlAg structure, as listed in Alexandria via LeMat-Bulk.

a b c (Å): 5.361 5.361 5.361
angles (deg): 60.00 60.00 60.00
Element x y z (fractional)
Tb 0.000 0.000 0.000
Nd 0.500 0.500 0.500
Tl 0.250 0.250 0.250
Ag 0.750 0.750 0.750

model one (6 meV/atom below the next structure)

Model one:
First-principles (PBE) data for a geometry-optimized Nd8TcAg2 structure, as listed in Alexandria via LeMat-Bulk.

a b c (Å): 9.307 9.307 7.161
angles (deg): 105.14 105.14 33.25
Element x y z (fractional)
Nd 0.022 0.022 0.287
Nd 0.201 0.201 0.808
Nd 0.342 0.342 0.526
Nd 0.410 0.410 0.056
Nd 0.590 0.590 0.944
Nd 0.658 0.658 0.474
Nd 0.799 0.799 0.192
Nd 0.978 0.978 0.713
Tc 0.500 0.500 0.500
Ag 0.184 0.184 0.217
Ag 0.816 0.816 0.783

Model two:
First-principles (PBE) data for a geometry-optimized Nd8TcAg2 structure, as listed in Alexandria via LeMat-Bulk.

a b c (Å): 8.992 8.992 6.398
angles (deg): 105.75 105.75 125.91
Element x y z (fractional)
Nd 0.000 0.000 0.000
Nd 0.166 0.926 0.573
Nd 0.399 0.623 0.238
Nd 0.451 0.451 0.673
Nd 0.533 0.915 0.898
Nd 0.623 0.399 0.238
Nd 0.915 0.533 0.898
Nd 0.926 0.166 0.573
Tc 0.778 0.778 0.182
Ag 0.034 0.454 0.354
Ag 0.454 0.034 0.354

model one (33 meV/atom below the next structure)

Model one:
First-principles (PBE) data for a geometry-optimized Nd2AgTe structure, as listed in Alexandria via LeMat-Bulk.

a b c (Å): 7.978 7.978 7.978
angles (deg): 31.69 31.69 31.69
Element x y z (fractional)
Nd 0.248 0.248 0.248
Nd 0.752 0.752 0.752
Ag 0.500 0.500 0.500
Te 0.000 0.000 0.000

Model two:
First-principles (PBE) data for a geometry-optimized Nd2AgTe structure, as listed in Alexandria via LeMat-Bulk.

a b c (Å): 12.312 12.312 4.671
angles (deg): 90.00 90.00 160.13
Element x y z (fractional)
Nd 0.063 0.937 0.750
Nd 0.323 0.677 0.750
Nd 0.677 0.323 0.250
Nd 0.937 0.063 0.250
Ag 0.461 0.539 0.750
Ag 0.539 0.461 0.250
Te 0.193 0.807 0.750
Te 0.807 0.193 0.250

model two (59 meV/atom below the next structure)

Model one:
First-principles (PBE) data for a geometry-optimized Nd2AgTe structure, as listed in Alexandria via LeMat-Bulk.

a b c (Å): 3.928 3.928 7.247
angles (deg): 90.00 90.00 90.00
Element x y z (fractional)
Nd 0.000 0.000 0.246
Nd 0.000 0.000 0.754
Ag 0.500 0.500 0.000
Te 0.500 0.500 0.500

Model two:
First-principles (PBE) data for a geometry-optimized Nd2AgTe structure, as listed in Alexandria via LeMat-Bulk.

a b c (Å): 5.390 5.390 5.390
angles (deg): 60.00 60.00 60.00
Element x y z (fractional)
Nd 0.250 0.250 0.250
Nd 0.750 0.750 0.750
Ag 0.000 0.000 0.000
Te 0.500 0.500 0.500

model one (84 meV/atom below the next structure)